RePdI: optimized geometry, GGA-PBE.

Properties
E_tot in eV for the cell shown: -32.562
Space group: Amm2 (38)

Unit cell a=3.170 b=3.171 c=13.062 alpha=90.00 beta=90.00 gamma=119.99
Sites, in units of the cell vectors:
I 0.280 0.560 0.186
Re 0.613 0.227 0.654
Pd 0.600 0.199 0.000
Re 0.613 0.227 0.346
I 0.280 0.560 0.814
Pd 0.280 0.560 0.500